[1]
Entry from the Alexandria database: CoMo2Ir at its PBEsol-relaxed geometry (SCAN).

The space group is P4/mmm (No. 123) and the conventional cell measures 2.684, 2.684 and 7.517 Å, with angles of 90.00, 90.00 and 90.00 degrees. Symmetry generates all atoms from Co at (0.000, 0.000, 0.000), Mo at (0.500, 0.500, 0.237) and Ir at (0.000, 0.000, 0.500).

The calculation puts the density of states at the Fermi level at 2.4 states/eV/f.u. The value obtained for the energy above the most stable polymorph in this dataset is 38 meV per atom. As for the energy relative to the elements: -0.08 eV/atom.

---

[2]
Entry from the Alexandria database: Mg3Au at its PBEsol-relaxed geometry (SCAN).

The space group is Pm-3m (No. 221) and the conventional cell measures 4.218, 4.218 and 4.218 Å, with angles of 90.00, 90.00 and 90.00 degrees. Symmetry generates all atoms from Mg at (0.000, 0.000, 0.500) and Au at (0.500, 0.500, 0.500).

The calculation puts the density of states at the Fermi level at 1.5 states/eV/f.u. The value obtained for the energy above the most stable polymorph in this dataset is 129 meV per atom. As for the energy relative to the elements: -0.47 eV/atom.

---

[3]
Entry from the Alexandria database: GdAl3 at its PBEsol-relaxed geometry (SCAN).

The space group is P6_3/mmc (No. 194) and the conventional cell measures 6.2221, 6.2221 and 4.6094 Å, with angles of 90.00, 90.00 and 120.00 degrees. Symmetry generates all atoms from Gd at (0.3333, 0.6667, 0.2500) and Al at (0.1482, 0.2964, 0.7500).

The calculation puts the density of states at the Fermi level at 1.7 states/eV/f.u. As for the energy relative to the elements: -0.43 eV/atom.

---

[4]
Entry from the Alexandria database: TcMo2W at its PBEsol-relaxed geometry (SCAN).

The space group is Immm (No. 71) and the conventional cell measures 3.110, 4.398 and 8.831 Å, with angles of 90.00, 90.00 and 90.00 degrees. Symmetry generates all atoms from Tc at (0.000, 0.000, 0.000), Mo at (0.000, 0.500, 0.246) and W at (0.000, 0.000, 0.500).

The calculation puts the density of states at the Fermi level at 2.7 states/eV/f.u. The value obtained for the energy above the most stable polymorph in this dataset is 0 meV per atom. As for the energy relative to the elements: 0.00 eV/atom.